# GGA-PBE CdP2Os, optimized geometry
# formation energy: 57 kJ/mol of formula units
# SG: P2/m, No. 10
data_CdP2Os
_chemical_formula_sum 'Cd1 P2 Os1'
_cell_length_a 3.923
_cell_length_b 4.017
_cell_length_c 4.579
_cell_angle_alpha 90.00
_cell_angle_beta 90.62
_cell_angle_gamma 90.00
_space_group_name_H-M_alt 'P 1'
_space_group_IT_number 1
loop_
_space_group_symop_operation_xyz
'x,y,z'
loop_
_atom_site_label
_atom_site_type_symbol
_atom_site_fract_x
_atom_site_fract_y
_atom_site_fract_z
_atom_site_occupancy
Cd1 Cd 0.000 0.000 0.000 1
P1 P 0.498 0.500 0.769 1
P2 P 0.502 0.500 0.231 1
Os1 Os 0.500 0.000 0.500 1

# GGA-PBE Pm4DyAu5, optimized geometry
# formation energy: -773 kJ/mol of formula units
# SG: P4/mmm, No. 123
data_Pm4DyAu5
_chemical_formula_sum 'Pm4 Dy1 Au5'
_cell_length_a 3.648
_cell_length_b 3.648
_cell_length_c 18.629
_cell_angle_alpha 90.00
_cell_angle_beta 90.00
_cell_angle_gamma 90.00
_space_group_name_H-M_alt 'P 1'
_space_group_IT_number 1
loop_
_space_group_symop_operation_xyz
'x,y,z'
loop_
_atom_site_label
_atom_site_type_symbol
_atom_site_fract_x
_atom_site_fract_y
_atom_site_fract_z
_atom_site_occupancy
Pm1 Pm 0.000 0.000 0.101 1
Pm2 Pm 0.000 0.000 0.303 1
Pm3 Pm 0.000 0.000 0.697 1
Pm4 Pm 0.000 0.000 0.899 1
Dy1 Dy 0.000 0.000 0.500 1
Au1 Au 0.500 0.500 0.000 1
Au2 Au 0.500 0.500 0.202 1
Au3 Au 0.500 0.500 0.407 1
Au4 Au 0.500 0.500 0.593 1
Au5 Au 0.500 0.500 0.798 1

# GGA-PBE La2AsN, optimized geometry
# ΔE_f (raw): -1.300 eV per atom
# SG: R-3m, No. 166
data_La2AsN
_chemical_formula_sum 'La6 As3 N3'
_cell_length_a 4.017
_cell_length_b 4.017
_cell_length_c 20.297
_cell_angle_alpha 90.00
_cell_angle_beta 90.00
_cell_angle_gamma 120.00
_space_group_name_H-M_alt 'P 1'
_space_group_IT_number 1
loop_
_space_group_symop_operation_xyz
'x,y,z'
loop_
_atom_site_label
_atom_site_type_symbol
_atom_site_fract_x
_atom_site_fract_y
_atom_site_fract_z
_atom_site_occupancy
La1 La 0.000 0.000 0.238 1
La2 La 0.000 0.000 0.762 1
La3 La 0.333 0.667 0.429 1
La4 La 0.333 0.667 0.905 1
La5 La 0.667 0.333 0.095 1
La6 La 0.667 0.333 0.571 1
As1 As 0.000 0.000 0.000 1
As2 As 0.333 0.667 0.667 1
As3 As 0.667 0.333 0.333 1
N1 N 0.000 0.000 0.500 1
N2 N 0.333 0.667 0.167 1
N3 N 0.667 0.333 0.833 1

# GGA-PBE InW2Se, optimized geometry
# ΔE_f (raw): 0.795 eV per atom
# SG: F-43m, No. 216
data_InW2Se
_chemical_formula_sum 'In4 W8 Se4'
_cell_length_a 6.593
_cell_length_b 6.593
_cell_length_c 6.593
_cell_angle_alpha 90.00
_cell_angle_beta 90.00
_cell_angle_gamma 90.00
_space_group_name_H-M_alt 'P 1'
_space_group_IT_number 1
loop_
_space_group_symop_operation_xyz
'x,y,z'
loop_
_atom_site_label
_atom_site_type_symbol
_atom_site_fract_x
_atom_site_fract_y
_atom_site_fract_z
_atom_site_occupancy
In1 In 0.000 0.000 0.000 1
In2 In 0.000 0.500 0.500 1
In3 In 0.500 0.000 0.500 1
In4 In 0.500 0.500 0.000 1
W1 W 0.000 0.000 0.500 1
W2 W 0.000 0.500 0.000 1
W3 W 0.250 0.250 0.750 1
W4 W 0.250 0.750 0.250 1
W5 W 0.500 0.000 0.000 1
W6 W 0.500 0.500 0.500 1
W7 W 0.750 0.250 0.250 1
W8 W 0.750 0.750 0.750 1
Se1 Se 0.250 0.250 0.250 1
Se2 Se 0.250 0.750 0.750 1
Se3 Se 0.750 0.250 0.750 1
Se4 Se 0.750 0.750 0.250 1

# GGA-PBE Pm6PrNd12, optimized geometry
# formation energy: 22 kJ/mol of formula units
# SG: R-3, No. 148
data_Pm6PrNd12
_chemical_formula_sum 'Pm6 Pr1 Nd12'
_cell_length_a 9.720
_cell_length_b 9.720
_cell_length_c 9.720
_cell_angle_alpha 110.89
_cell_angle_beta 110.89
_cell_angle_gamma 110.89
_space_group_name_H-M_alt 'P 1'
_space_group_IT_number 1
loop_
_space_group_symop_operation_xyz
'x,y,z'
loop_
_atom_site_label
_atom_site_type_symbol
_atom_site_fract_x
_atom_site_fract_y
_atom_site_fract_z
_atom_site_occupancy
Pm1 Pm 0.052 0.368 0.579 1
Pm2 Pm 0.368 0.579 0.052 1
Pm3 Pm 0.421 0.948 0.632 1
Pm4 Pm 0.579 0.052 0.368 1
Pm5 Pm 0.632 0.421 0.948 1
Pm6 Pm 0.948 0.632 0.421 1
Pr1 Pr 0.000 0.000 0.000 1
Nd1 Nd 0.106 0.737 0.159 1
Nd2 Nd 0.159 0.106 0.737 1
Nd3 Nd 0.211 0.475 0.317 1
Nd4 Nd 0.263 0.841 0.894 1
Nd5 Nd 0.317 0.211 0.475 1
Nd6 Nd 0.475 0.317 0.211 1
Nd7 Nd 0.525 0.683 0.789 1
Nd8 Nd 0.683 0.789 0.525 1
Nd9 Nd 0.737 0.159 0.106 1
Nd10 Nd 0.789 0.525 0.683 1
Nd11 Nd 0.841 0.894 0.263 1
Nd12 Nd 0.894 0.263 0.841 1

# GGA-PBE Ga6BPd12, optimized geometry
# formation energy: -814 kJ/mol of formula units
# SG: R-3, No. 148
data_Ga6BPd12
_chemical_formula_sum 'Ga6 B1 Pd12'
_cell_length_a 6.834
_cell_length_b 6.834
_cell_length_c 6.834
_cell_angle_alpha 100.13
_cell_angle_beta 100.13
_cell_angle_gamma 100.13
_space_group_name_H-M_alt 'P 1'
_space_group_IT_number 1
loop_
_space_group_symop_operation_xyz
'x,y,z'
loop_
_atom_site_label
_atom_site_type_symbol
_atom_site_fract_x
_atom_site_fract_y
_atom_site_fract_z
_atom_site_occupancy
Ga1 Ga 0.122 0.319 0.676 1
Ga2 Ga 0.319 0.676 0.122 1
Ga3 Ga 0.324 0.878 0.681 1
Ga4 Ga 0.676 0.122 0.319 1
Ga5 Ga 0.681 0.324 0.878 1
Ga6 Ga 0.878 0.681 0.324 1
B1 B 0.000 0.000 0.000 1
Pd1 Pd 0.024 0.056 0.316 1
Pd2 Pd 0.056 0.316 0.024 1
Pd3 Pd 0.194 0.533 0.422 1
Pd4 Pd 0.316 0.024 0.056 1
Pd5 Pd 0.422 0.194 0.533 1
Pd6 Pd 0.467 0.578 0.806 1
Pd7 Pd 0.533 0.422 0.194 1
Pd8 Pd 0.578 0.806 0.467 1
Pd9 Pd 0.684 0.976 0.944 1
Pd10 Pd 0.806 0.467 0.578 1
Pd11 Pd 0.944 0.684 0.976 1
Pd12 Pd 0.976 0.944 0.684 1

no.,magnetization (μB per formula unit),raw total energy (eV per cell),density (g cm⁻³)
1,0.00,-22.4,8.39
2,0.00,-48.0,11.57
3,0.00,-84.1,6.44
4,0.00,-115.8,13.02
5,0.00,-90.3,6.82
6,0.00,-95.6,9.37